Record 1
# Sr3In5I12 GGA-PBE relaxed
data_Sr3In5I12
_chemical_formula_sum 'Sr24 In40 I96'
_cell_length_a 19.737
_cell_length_b 19.737
_cell_length_c 19.737
_cell_angle_alpha 90.00
_cell_angle_beta 90.00
_cell_angle_gamma 90.00
_space_group_name_H-M_alt 'I a -3 d'
_space_group_IT_number 230
_space_group_name_Hall '-I 4bd 2c 3'
loop_
_atom_site_label
_atom_site_type_symbol
_atom_site_fract_x
_atom_site_fract_y
_atom_site_fract_z
Sr1 Sr 0.000 0.250 0.125
In1 In 0.000 0.000 0.000
In2 In 0.000 0.250 0.375
I1 I 0.019 0.076 0.650
# E_form (uncorrected) in eV per atom: -0.879
# Excess energy over the best structure of this formula in the dataset in eV per atom: 0.098
# Spin magnetization in μB per formula unit: 0.0
# Uncorrected energy in eV for the cell shown: -439.29

***

Record 2
# ZrNb GGA-PBE relaxed
data_ZrNb
_chemical_formula_sum 'Zr6 Nb6'
_cell_length_a 3.547
_cell_length_b 14.191
_cell_length_c 4.909
_cell_angle_alpha 90.00
_cell_angle_beta 90.00
_cell_angle_gamma 90.00
_space_group_name_H-M_alt 'A m m 2'
_space_group_IT_number 38
loop_
_space_group_symop_operation_xyz
'x,y,z'
'-x,-y,z'
'-x,y,z'
'x,-y,z'
'x,y+1/2,z+1/2'
'-x,-y+1/2,z+1/2'
'-x,y+1/2,z+1/2'
'x,-y+1/2,z+1/2'
loop_
_atom_site_label
_atom_site_type_symbol
_atom_site_fract_x
_atom_site_fract_y
_atom_site_fract_z
Zr1 Zr 0.000 0.000 0.000
Zr2 Zr 0.000 0.168 0.437
Nb1 Nb 0.500 0.000 0.524
Nb2 Nb 0.500 0.162 0.921
# Spin magnetization in μB per formula unit: 0.0
# Uncorrected energy in eV for the cell shown: -110.42

***

Record 3
# Tb6Bi2Ir GGA-PBE relaxed
data_Tb6Bi2Ir
_chemical_formula_sum 'Tb12 Bi4 Ir2'
_cell_length_a 6.498
_cell_length_b 8.029
_cell_length_c 12.075
_cell_angle_alpha 90.00
_cell_angle_beta 120.41
_cell_angle_gamma 90.00
_space_group_name_H-M_alt 'P 1 21/c 1'
_space_group_IT_number 14
loop_
_space_group_symop_operation_xyz
'x,y,z'
'-x,-y,-z'
'-x,y+1/2,-z+1/2'
'x,-y+1/2,z+1/2'
loop_
_atom_site_label
_atom_site_type_symbol
_atom_site_fract_x
_atom_site_fract_y
_atom_site_fract_z
Tb1 Tb 0.099 0.185 0.459
Tb2 Tb 0.319 0.679 0.458
Tb3 Tb 0.376 0.022 0.249
Bi1 Bi 0.153 0.114 0.748
Ir1 Ir 0.500 0.000 0.500
# Spin magnetization in μB per formula unit: 0.0
# Uncorrected energy in eV for the cell shown: -98.83

***

Record 4
# KBe2Os GGA-PBE relaxed
data_KBe2Os
_chemical_formula_sum 'K1 Be2 Os1'
_cell_length_a 3.031
_cell_length_b 3.031
_cell_length_c 7.633
_cell_angle_alpha 90.00
_cell_angle_beta 90.00
_cell_angle_gamma 90.00
_space_group_name_H-M_alt 'P 4 m m'
_space_group_IT_number 99
loop_
_space_group_symop_operation_xyz
'x,y,z'
'-y,x,z'
'-x,-y,z'
'y,-x,z'
'-x,y,z'
'y,x,z'
'x,-y,z'
'-y,-x,z'
loop_
_atom_site_label
_atom_site_type_symbol
_atom_site_fract_x
_atom_site_fract_y
_atom_site_fract_z
K1 K 0.000 0.000 0.000
Be1 Be 0.000 0.000 0.465
Be2 Be 0.500 0.500 0.634
Os1 Os 0.500 0.500 0.356
# Excess energy over the best structure of this formula in the dataset in eV per atom: 0.355
# Spin magnetization in μB per formula unit: 0.0
# Uncorrected energy in eV for the cell shown: -17.10

***

Record 5
# Zn3SnRh GGA-PBE relaxed
data_Zn3SnRh
_chemical_formula_sum 'Zn3 Sn1 Rh1'
_cell_length_a 4.783
_cell_length_b 4.783
_cell_length_c 4.783
_cell_angle_alpha 90.00
_cell_angle_beta 90.00
_cell_angle_gamma 90.00
_space_group_name_H-M_alt 'P m -3 m'
_space_group_IT_number 221
_space_group_name_Hall '-P 4 2 3'
loop_
_atom_site_label
_atom_site_type_symbol
_atom_site_fract_x
_atom_site_fract_y
_atom_site_fract_z
Zn1 Zn 0.000 0.000 0.500
Sn1 Sn 0.500 0.500 0.500
Rh1 Rh 0.000 0.000 0.000
# Excess energy over the best structure of this formula in the dataset in eV per atom: 0.000
# Spin magnetization in μB per formula unit: 0.0
# Uncorrected energy in eV for the cell shown: -14.30

***

Record 6
# ZrAuO2 GGA-PBE relaxed
data_ZrAuO2
_chemical_formula_sum 'Zr4 Au4 O8'
_cell_length_a 5.866
_cell_length_b 5.866
_cell_length_c 5.866
_cell_angle_alpha 90.00
_cell_angle_beta 90.00
_cell_angle_gamma 90.00
_space_group_name_H-M_alt 'F m -3 m'
_space_group_IT_number 225
_space_group_name_Hall '-F 4 2 3'
loop_
_atom_site_label
_atom_site_type_symbol
_atom_site_fract_x
_atom_site_fract_y
_atom_site_fract_z
Zr1 Zr 0.000 0.000 0.000
Au1 Au 0.000 0.000 0.500
O1 O 0.250 0.250 0.250
# E_form (uncorrected) in eV per atom: -0.997
# Spin magnetization in μB per formula unit: 0.0
# Uncorrected energy in eV for the cell shown: -102.92

***

Record 7
# BaLaPm GGA-PBE relaxed
data_BaLaPm
_chemical_formula_sum 'Ba1 La1 Pm1'
_cell_length_a 3.8665
_cell_length_b 3.8665
_cell_length_c 9.6795
_cell_angle_alpha 90.00
_cell_angle_beta 90.00
_cell_angle_gamma 120.00
_space_group_name_H-M_alt 'P 3 m 1'
_space_group_IT_number 156
loop_
_space_group_symop_operation_xyz
'x,y,z'
'-y,x-y,z'
'-x+y,-x,z'
'-y,-x,z'
'-x+y,y,z'
'x,x-y,z'
loop_
_atom_site_label
_atom_site_type_symbol
_atom_site_fract_x
_atom_site_fract_y
_atom_site_fract_z
Ba1 Ba 0.0000 0.0000 0.0000
La1 La 0.3333 0.6667 0.6407
Pm1 Pm 0.6667 0.3333 0.3468
# Excess energy over the best structure of this formula in the dataset in eV per atom: 0.016
# Spin magnetization in μB per formula unit: 0.0
# Uncorrected energy in eV for the cell shown: -11.19

***

Record 8
# CoPS2N GGA-PBE relaxed
data_CoPS2N
_chemical_formula_sum 'Co1 P1 S2 N1'
_cell_length_a 2.727
_cell_length_b 5.227
_cell_length_c 6.734
_cell_angle_alpha 106.46
_cell_angle_beta 100.76
_cell_angle_gamma 90.00
_space_group_name_H-M_alt 'P 1'
_space_group_IT_number 1
loop_
_space_group_symop_operation_xyz
'x,y,z'
loop_
_atom_site_label
_atom_site_type_symbol
_atom_site_fract_x
_atom_site_fract_y
_atom_site_fract_z
Co1 Co 0.000 0.000 0.000
P1 P 0.977 0.581 0.950
S1 S 0.100 0.414 0.218
S2 S 0.393 0.054 0.767
N1 N 0.412 0.412 0.808
# E_form (uncorrected) in eV per atom: 0.027
# Excess energy over the best structure of this formula in the dataset in eV per atom: 0.079
# Spin magnetization in μB per formula unit: 0.4
# Uncorrected energy in eV for the cell shown: -28.96

***

Record 9
# Zn3HgB GGA-PBE relaxed
data_Zn3HgB
_chemical_formula_sum 'Zn3 Hg1 B1'
_cell_length_a 4.974
_cell_length_b 4.974
_cell_length_c 4.974
_cell_angle_alpha 90.00
_cell_angle_beta 90.00
_cell_angle_gamma 90.00
_space_group_name_H-M_alt 'P m -3 m'
_space_group_IT_number 221
_space_group_name_Hall '-P 4 2 3'
loop_
_atom_site_label
_atom_site_type_symbol
_atom_site_fract_x
_atom_site_fract_y
_atom_site_fract_z
Zn1 Zn 0.000 0.000 0.500
Hg1 Hg 0.000 0.000 0.000
B1 B 0.500 0.500 0.500
# Excess energy over the best structure of this formula in the dataset in eV per atom: 1.046
# Spin magnetization in μB per formula unit: 0.0
# Uncorrected energy in eV for the cell shown: -4.16

***

Record 10
# AcTb3Dy2 GGA-PBE relaxed
data_AcTb3Dy2
_chemical_formula_sum 'Ac4 Tb12 Dy8'
_cell_length_a 9.152
_cell_length_b 9.968
_cell_length_c 9.062
_cell_angle_alpha 90.00
_cell_angle_beta 102.11
_cell_angle_gamma 90.00
_space_group_name_H-M_alt 'C 1 2/c 1'
_space_group_IT_number 15
loop_
_space_group_symop_operation_xyz
'x,y,z'
'-x,-y,-z'
'-x,y,-z+1/2'
'x,-y,z+1/2'
'x+1/2,y+1/2,z'
'-x+1/2,-y+1/2,-z'
'-x+1/2,y+1/2,-z+1/2'
'x+1/2,-y+1/2,z+1/2'
loop_
_atom_site_label
_atom_site_type_symbol
_atom_site_fract_x
_atom_site_fract_y
_atom_site_fract_z
Ac1 Ac 0.000 0.074 0.250
Tb1 Tb 0.000 0.416 0.250
Tb2 Tb 0.233 0.411 0.991
Dy1 Dy 0.126 0.255 0.626
# Excess energy over the best structure of this formula in the dataset in eV per atom: 0.000
# Spin magnetization in μB per formula unit: 0.0
# Uncorrected energy in eV for the cell shown: -106.43

***

Record 11
# HfMg3Zr12 GGA-PBE relaxed
data_HfMg3Zr12
_chemical_formula_sum 'Hf1 Mg3 Zr12'
_cell_length_a 4.500
_cell_length_b 4.500
_cell_length_c 17.903
_cell_angle_alpha 90.00
_cell_angle_beta 90.00
_cell_angle_gamma 90.00
_space_group_name_H-M_alt 'P 4/m m m'
_space_group_IT_number 123
_space_group_name_Hall '-P 4 2'
loop_
_atom_site_label
_atom_site_type_symbol
_atom_site_fract_x
_atom_site_fract_y
_atom_site_fract_z
Hf1 Hf 0.000 0.000 0.000
Mg1 Mg 0.000 0.000 0.252
Mg2 Mg 0.000 0.000 0.500
Zr1 Zr 0.000 0.500 0.124
Zr2 Zr 0.000 0.500 0.375
Zr3 Zr 0.500 0.500 0.000
Zr4 Zr 0.500 0.500 0.253
Zr5 Zr 0.500 0.500 0.500
# Spin magnetization in μB per formula unit: 0.0
# Uncorrected energy in eV for the cell shown: -117.06

***

Record 12
# Sc3AsW GGA-PBE relaxed
data_Sc3AsW
_chemical_formula_sum 'Sc3 As1 W1'
_cell_length_a 4.927
_cell_length_b 4.927
_cell_length_c 4.927
_cell_angle_alpha 90.00
_cell_angle_beta 90.00
_cell_angle_gamma 90.00
_space_group_name_H-M_alt 'P m -3 m'
_space_group_IT_number 221
_space_group_name_Hall '-P 4 2 3'
loop_
_atom_site_label
_atom_site_type_symbol
_atom_site_fract_x
_atom_site_fract_y
_atom_site_fract_z
Sc1 Sc 0.000 0.000 0.500
As1 As 0.000 0.000 0.000
W1 W 0.500 0.500 0.500
# Excess energy over the best structure of this formula in the dataset in eV per atom: 0.000
# Spin magnetization in μB per formula unit: 1.6
# Uncorrected energy in eV for the cell shown: -34.35